<P>
A plane-wave DFT calculation with PBE-GGA was carried out for a relaxed CaTiSb3 crystal.

Unit cell a=5.310 b=5.310 c=5.310 alpha=90.00 beta=90.00 gamma=90.00
Positions (direct):
Sb  0.000  0.500  0.000
Sb  0.000  0.000  0.500
Sb  0.500  0.000  0.000
Ca  0.500  0.500  0.500
Ti  0.000  0.000  0.000

Values from the calculation:
SG	Pm-3m (221)
size of the total moment	0.00	μB/f.u.

---

<Q>
A plane-wave DFT calculation with PBE-GGA was carried out for a relaxed CaTiSb3 crystal.

Unit cell a=6.263 b=6.209 c=13.550 alpha=90.00 beta=90.00 gamma=90.00
Positions (direct):
Ca  0.750  0.490  0.687
Ca  0.250  0.510  0.313
Ca  0.750  0.990  0.313
Ca  0.250  0.010  0.687
Ti  0.500  0.250  0.090
Ti  0.000  0.750  0.910
Ti  0.500  0.750  0.910
Ti  0.000  0.250  0.090
Sb  0.000  0.250  0.496
Sb  0.500  0.750  0.504
Sb  0.000  0.750  0.504
Sb  0.500  0.250  0.496
Sb  0.250  0.120  0.928
Sb  0.750  0.880  0.072
Sb  0.250  0.620  0.072
Sb  0.750  0.380  0.928
Sb  0.250  0.499  0.781
Sb  0.750  0.501  0.219
Sb  0.250  0.999  0.219
Sb  0.750  0.001  0.781

Values from the calculation:
SG	Pbcm (57)
size of the total moment	0.00	μB/f.u.

---

Which one is most stable, and which one is least stable? <Q> is the most stable of them, while <P> is the least stable.